A relaxed Os3Se crystal, computed with GGA-PBE.

```
8
Lattice="-2.022 2.022 7.554 2.022 -2.022 7.554 2.022 2.022 -7.554" Properties=species:S:1:pos:R:3 pbc="T T T"
Os 2.022 0.000 0.000
Os 0.000 0.000 2.100
Os 2.022 0.000 3.777
Os 0.000 2.022 0.000
Os 0.000 2.022 3.777
Os 0.000 0.000 13.008
Se 0.000 0.000 5.963
Se 0.000 0.000 9.144
```

Results
Crystal system = tetragonal
Uncorrected energy = -67.0 eV for the cell shown
Calculated density = 17.5 g/cm³
Symmetry = I4/mmm, No. 139
ΔE_f (raw) = 0.920 eV per atom

***

A relaxed LiAlC crystal, computed with GGA-PBE.

```
6
Lattice="1.439 -10.012 0.000 1.439 10.012 0.000 0.000 0.000 2.647" Properties=species:S:1:pos:R:3 pbc="T T T"
Li 1.439 8.534 1.985
Li 1.439 -8.534 0.662
Al 1.439 3.980 0.662
Al 1.439 -3.980 1.985
C 1.439 0.222 1.985
C 1.439 -0.222 0.662
```

Results
Calculated formation energy = 0.2137 eV/atom
Crystal system = orthorhombic
Uncorrected energy = -28.5 eV for the cell shown
Calculated density = 2.0 g/cm³
Symmetry = Cmcm, No. 63

***

A relaxed Tb3Tl3Hg2 crystal, computed with GGA-PBE.

```
8
Lattice="8.290 0.000 0.000 -4.145 7.180 0.000 0.000 0.000 3.630" Properties=species:S:1:pos:R:3 pbc="T T T"
Tb -2.552 4.421 0.000
Tb 1.593 2.759 0.000
Tb 5.105 0.000 0.000
Tl -0.991 1.717 1.815
Tl 1.982 0.000 1.815
Tl 3.154 5.463 1.815
Hg 0.000 4.786 1.815
Hg 4.145 2.393 1.815
```

Results
Calculated formation energy = -0.3360 eV/atom
Crystal system = hexagonal
Uncorrected energy = -24.3 eV for the cell shown
Calculated density = 11.5 g/cm³
Symmetry = P-62m, No. 189